Model a:
# GGA-PBE SrPmGe4, relaxed
# D(E_F) = 20.7 states/eV per cell
# Total magnetization = 0.000 μB per formula unit
data_SrPmGe4
_space_group_name_H-M_alt 'F -4 3 m'
_space_group_IT_number 216
_space_group_name_Hall 'F -4 2 3'
_cell_length_a 8.200
_cell_length_b 8.200
_cell_length_c 8.200
_cell_angle_alpha 90.00
_cell_angle_beta 90.00
_cell_angle_gamma 90.00
loop_
_atom_site_label
_atom_site_type_symbol
_atom_site_fract_x
_atom_site_fract_y
_atom_site_fract_z
Sr1 Sr 0.000 0.000 0.000
Pm1 Pm 0.250 0.250 0.250
Ge1 Ge 0.123 0.123 0.623



Model b:
# GGA-PBE SrPmGe4, relaxed
# D(E_F) = 7.8 states/eV per cell
# Total magnetization = 0.000 μB per formula unit
data_SrPmGe4
_space_group_name_H-M_alt 'P b a m'
_space_group_IT_number 55
_cell_length_a 7.812
_cell_length_b 17.863
_cell_length_c 4.404
_cell_angle_alpha 90.00
_cell_angle_beta 90.00
_cell_angle_gamma 90.00
loop_
_space_group_symop_operation_xyz
'x,y,z'
'-x,-y,-z'
'-x,-y,z'
'x,y,-z'
'x+1/2,-y+1/2,-z'
'-x+1/2,y+1/2,z'
'-x+1/2,y+1/2,-z'
'x+1/2,-y+1/2,z'
loop_
_atom_site_label
_atom_site_type_symbol
_atom_site_fract_x
_atom_site_fract_y
_atom_site_fract_z
Sr1 Sr 0.127 0.166 0.000
Pm1 Pm 0.129 0.412 0.000
Ge1 Ge 0.039 0.686 0.500
Ge2 Ge 0.100 0.940 0.500
Ge3 Ge 0.146 0.537 0.500
Ge4 Ge 0.214 0.805 0.500



What should be chosen as the most stable of them? Choose model b.



Model a:
# GGA-PBE Tb2PmGe, relaxed
# D(E_F) = 20.4 states/eV per cell
# Total magnetization = 0.414 μB per formula unit
data_Tb2PmGe
_space_group_name_H-M_alt 'C m c m'
_space_group_IT_number 63
_space_group_name_Hall '-C 2c 2'
_cell_length_a 4.151
_cell_length_b 12.100
_cell_length_c 9.236
_cell_angle_alpha 90.00
_cell_angle_beta 90.00
_cell_angle_gamma 90.00
loop_
_atom_site_label
_atom_site_type_symbol
_atom_site_fract_x
_atom_site_fract_y
_atom_site_fract_z
Tb1 Tb 0.000 0.145 0.057
Pm1 Pm 0.000 0.433 0.250
Ge1 Ge 0.000 0.251 0.750



Model b:
# GGA-PBE Tb2PmGe, relaxed
# D(E_F) = 15.5 states/eV per cell
# Total magnetization = 0.000 μB per formula unit
data_Tb2PmGe
_space_group_name_H-M_alt 'R -3 m'
_space_group_IT_number 166
_space_group_name_Hall '-R 3 2"'
_cell_length_a 3.7370
_cell_length_b 3.7370
_cell_length_c 29.8338
_cell_angle_alpha 90.00
_cell_angle_beta 90.00
_cell_angle_gamma 120.00
loop_
_atom_site_label
_atom_site_type_symbol
_atom_site_fract_x
_atom_site_fract_y
_atom_site_fract_z
Tb1 Tb 0.0000 0.0000 0.2319
Pm1 Pm 0.0000 0.0000 0.0000
Ge1 Ge 0.0000 0.0000 0.5000



Model c:
# GGA-PBE Tb2PmGe, relaxed
# D(E_F) = 16.7 states/eV per cell
# Total magnetization = 0.276 μB per formula unit
data_Tb2PmGe
_space_group_name_H-M_alt 'R 3 m'
_space_group_IT_number 160
_space_group_name_Hall 'R 3 -2"'
_cell_length_a 3.7967
_cell_length_b 3.7967
_cell_length_c 29.2668
_cell_angle_alpha 90.00
_cell_angle_beta 90.00
_cell_angle_gamma 120.00
loop_
_atom_site_label
_atom_site_type_symbol
_atom_site_fract_x
_atom_site_fract_y
_atom_site_fract_z
Tb1 Tb 0.0000 0.0000 0.0000
Tb2 Tb 0.0000 0.0000 0.2044
Pm1 Pm 0.0000 0.0000 0.7679
Ge1 Ge 0.0000 0.0000 0.6024



Model d:
# GGA-PBE Tb2PmGe, relaxed
# D(E_F) = 4.6 states/eV per cell
# Total magnetization = 0.000 μB per formula unit
data_Tb2PmGe
_space_group_name_H-M_alt 'P 4/m m m'
_space_group_IT_number 123
_space_group_name_Hall '-P 4 2'
_cell_length_a 4.725
_cell_length_b 4.725
_cell_length_c 4.704
_cell_angle_alpha 90.00
_cell_angle_beta 90.00
_cell_angle_gamma 90.00
loop_
_atom_site_label
_atom_site_type_symbol
_atom_site_fract_x
_atom_site_fract_y
_atom_site_fract_z
Tb1 Tb 0.000 0.500 0.000
Pm1 Pm 0.000 0.000 0.500
Ge1 Ge 0.500 0.500 0.500



What should be chosen as the most stable of them? Choose model a.



Model a:
# GGA-PBE Tb3Pm2Ge4, relaxed
# D(E_F) = 12.9 states/eV per cell
# Total magnetization = 0.000 μB per formula unit
data_Tb3Pm2Ge4
_space_group_name_H-M_alt 'C 1 2/m 1'
_space_group_IT_number 12
_cell_length_a 11.152
_cell_length_b 4.454
_cell_length_c 9.737
_cell_angle_alpha 90.00
_cell_angle_beta 97.91
_cell_angle_gamma 90.00
loop_
_space_group_symop_operation_xyz
'x,y,z'
'-x,-y,-z'
'-x,y,-z'
'x,-y,z'
'x+1/2,y+1/2,z'
'-x+1/2,-y+1/2,-z'
'-x+1/2,y+1/2,-z'
'x+1/2,-y+1/2,z'
loop_
_atom_site_label
_atom_site_type_symbol
_atom_site_fract_x
_atom_site_fract_y
_atom_site_fract_z
Tb1 Tb 0.000 0.000 0.000
Tb2 Tb 0.122 0.500 0.405
Pm1 Pm 0.179 0.500 0.815
Ge1 Ge 0.092 0.000 0.607
Ge2 Ge 0.143 0.500 0.116



Model b:
# GGA-PBE Tb3Pm2Ge4, relaxed
# D(E_F) = 11.9 states/eV per cell
# Total magnetization = 0.000 μB per formula unit
data_Tb3Pm2Ge4
_space_group_name_H-M_alt 'P 1 21/c 1'
_space_group_IT_number 14
_cell_length_a 8.018
_cell_length_b 7.896
_cell_length_c 7.699
_cell_angle_alpha 90.00
_cell_angle_beta 111.62
_cell_angle_gamma 90.00
loop_
_space_group_symop_operation_xyz
'x,y,z'
'-x,-y,-z'
'-x,y+1/2,-z+1/2'
'x,-y+1/2,z+1/2'
loop_
_atom_site_label
_atom_site_type_symbol
_atom_site_fract_x
_atom_site_fract_y
_atom_site_fract_z
Tb1 Tb 0.000 0.000 0.000
Tb2 Tb 0.262 0.164 0.769
Pm1 Pm 0.302 0.681 0.935
Ge1 Ge 0.007 0.630 0.128
Ge2 Ge 0.412 0.037 0.170



What should be chosen as the most stable of them? Choose model b.



Model a:
# GGA-PBE TbPmGe4, relaxed
# D(E_F) = 5.4 states/eV per cell
# Total magnetization = 0.000 μB per formula unit
data_TbPmGe4
_space_group_name_H-M_alt 'P b a m'
_space_group_IT_number 55
_cell_length_a 8.938
_cell_length_b 15.381
_cell_length_c 4.098
_cell_angle_alpha 90.00
_cell_angle_beta 90.00
_cell_angle_gamma 90.00
loop_
_space_group_symop_operation_xyz
'x,y,z'
'-x,-y,-z'
'-x,-y,z'
'x,y,-z'
'x+1/2,-y+1/2,-z'
'-x+1/2,y+1/2,z'
'-x+1/2,y+1/2,-z'
'x+1/2,-y+1/2,z'
loop_
_atom_site_label
_atom_site_type_symbol
_atom_site_fract_x
_atom_site_fract_y
_atom_site_fract_z
Tb1 Tb 0.140 0.086 0.000
Pm1 Pm 0.104 0.369 0.000
Ge1 Ge 0.062 0.218 0.500
Ge2 Ge 0.125 0.925 0.500
Ge3 Ge 0.133 0.526 0.500
Ge4 Ge 0.165 0.689 0.500



Model b:
# GGA-PBE TbPmGe4, relaxed
# D(E_F) = 29.0 states/eV per cell
# Total magnetization = 0.000 μB per formula unit
data_TbPmGe4
_space_group_name_H-M_alt 'F -4 3 m'
_space_group_IT_number 216
_space_group_name_Hall 'F -4 2 3'
_cell_length_a 8.025
_cell_length_b 8.025
_cell_length_c 8.025
_cell_angle_alpha 90.00
_cell_angle_beta 90.00
_cell_angle_gamma 90.00
loop_
_atom_site_label
_atom_site_type_symbol
_atom_site_fract_x
_atom_site_fract_y
_atom_site_fract_z
Tb1 Tb 0.000 0.000 0.000
Pm1 Pm 0.250 0.250 0.750
Ge1 Ge 0.126 0.126 0.374



What should be chosen as the most stable of them? Choose model a.